First-principles (GGA-PBE) data for crystalline CaDy14Er at its relaxed geometry, as listed in Alexandria via LeMat-Bulk.

Cell: 11.2870 7.2628 12.5714 Å, 90.00 90.00 90.00°
Last column: nearest neighbours and their distance in Å.
Space group Amm2 (No. 38)
Symmetry-distinct sites (fractional):
Ca 0.0000 0.0000 0.0000 x2  10 Dy 3.56-3.63, 2 Er 3.63
Dy 0.0000 0.2494 0.7496 x4  8 Dy 3.49-3.64, 2 Er 3.62-3.64, 2 Ca 3.63
Dy 0.2472 0.0000 0.6668 x4  11 Dy 3.49-3.63, 1 Er 3.49
Dy 0.2533 0.2466 0.4158 x8  10 Dy 3.48-3.68, 1 Er 3.54, 1 Ca 3.56
Dy 0.2536 0.0000 0.1691 x4  11 Dy 3.47-3.68, 1 Ca 3.57
Dy 0.5000 0.0000 0.0003 x2  12 Dy 3.50-3.63
Dy 0.5000 0.0000 0.5003 x2  12 Dy 3.48-3.63
Dy 0.5000 0.2499 0.2503 x4  12 Dy 3.47-3.63
Er 0.0000 0.0000 0.5005 x2  10 Dy 3.49-3.64, 2 Ca 3.63

Values from the calculation:
Total magnetic moment, μB per formula unit: 0.01
Raw total energy, eV per atom: -4.41

First-principles (GGA-PBE) data for crystalline CaDy6Er12 at its relaxed geometry, as listed in Alexandria via LeMat-Bulk.

Cell: 15.0185 15.0185 9.9848 Å, 90.00 90.00 120.00°
Last column: nearest neighbours and their distance in Å.
Space group R-3m (No. 166, hexagonal axes)
Symmetry-distinct sites (fractional):
Ca 0.0000 0.0000 0.0000 x3  6 Er 3.44
Dy 0.0550 0.5275 0.2127 x18  5 Er 3.10-3.39
Er 0.0000 0.3890 0.5000 x18  4 Dy 3.29-3.39, 5 Er 3.34-3.63
Er 0.0731 0.1462 0.2871 x18  1 Dy 3.10, 2 Er 3.29, 1 Ca 3.44

Values from the calculation:
Total magnetic moment, μB per formula unit: 0.00
Raw total energy, eV per atom: -4.00

First-principles (GGA-PBE) data for crystalline CaDyEr at its relaxed geometry, as listed in Alexandria via LeMat-Bulk.

Cell: 3.6166 3.6166 15.5125 Å, 90.00 90.00 90.00°
Last column: nearest neighbours and their distance in Å.
Space group I4mm (No. 107)
Symmetry-distinct sites (fractional):
Ca 0.0000 0.0000 0.0000 x2  4 Ca 3.62, 4 Er 3.74, 4 Dy 3.76
Dy 0.0000 0.0000 0.3225 x2  4 Er 3.42, 4 Dy 3.62, 4 Ca 3.76
Er 0.0000 0.0000 0.6761 x2  4 Dy 3.42, 4 Er 3.62, 4 Ca 3.74

Values from the calculation:
Energy above the most stable polymorph in this dataset, meV per atom: 0
Total magnetic moment, μB per formula unit: 0.00
Raw total energy, eV per atom: -3.65

First-principles (GGA-PBE) data for crystalline CaDyEr at its relaxed geometry, as listed in Alexandria via LeMat-Bulk.

Cell: 3.9523 3.9523 13.5225 Å, 90.00 90.00 90.00°
Last column: nearest neighbours and their distance in Å.
Space group P4/nmm (No. 129, origin choice 2)
Symmetry-distinct sites (fractional):
Ca 0.2500 0.2500 0.1030 x2  4 Dy 3.75, 8 Ca 3.95
Dy 0.2500 0.2500 0.7117 x2  5 Er 3.40-3.79, 4 Ca 3.75
Er 0.2500 0.2500 0.4313 x2  4 Er 3.36, 4 Dy 3.40

Values from the calculation:
Energy above the most stable polymorph in this dataset, meV per atom: 20
Total magnetic moment, μB per formula unit: 0.00
Raw total energy, eV per atom: -3.63

First-principles (GGA-PBE) data for crystalline CaDy8Er6 at its relaxed geometry, as listed in Alexandria via LeMat-Bulk.

Cell: 9.5623 9.5623 17.8293 Å, 90.00 90.00 120.00°
Last column: nearest neighbours and their distance in Å.
Space group R-3 (No. 148, hexagonal axes)
Symmetry-distinct sites (fractional):
Ca 0.0000 0.0000 0.0000 x3  6 Dy 3.02
Dy 0.0000 0.0000 0.2410 x6  6 Dy 3.33-3.56, 6 Er 3.69-3.70
Dy 0.0469 0.7681 0.9028 x18  1 Ca 3.02, 2 Dy 3.17-3.33, 1 Er 3.35
Er 0.0280 0.7939 0.4109 x18  7 Dy 3.35-3.70, 3 Er 3.64-3.67

Values from the calculation:
Total magnetic moment, μB per formula unit: 0.13
Raw total energy, eV per atom: -4.20

First-principles (GGA-PBE) data for crystalline Ca2DyEr at its relaxed geometry, as listed in Alexandria via LeMat-Bulk.

Cell: 3.5622 3.5622 39.0321 Å, 90.00 90.00 120.00°
Last column: nearest neighbours and their distance in Å.
Space group R-3m (No. 166, hexagonal axes)
Symmetry-distinct sites (fractional):
Ca 0.0000 0.0000 0.0875 x6  1 Er 3.42, 6 Ca 3.56, 3 Dy 3.71
Dy 0.0000 0.0000 0.5000 x3  6 Dy 3.56, 6 Ca 3.71
Er 0.0000 0.0000 0.0000 x3  2 Ca 3.42, 6 Er 3.56

Values from the calculation:
Energy above the most stable polymorph in this dataset, meV per atom: 80
Total magnetic moment, μB per formula unit: 0.68
Raw total energy, eV per atom: -3.02

First-principles (GGA-PBE) data for crystalline CaDy12Er5 at its relaxed geometry, as listed in Alexandria via LeMat-Bulk.

Cell: 10.6374 5.0117 10.6518 Å, 90.00 90.09 90.00°
Last column: nearest neighbours and their distance in Å.
Space group P2/m (No. 10)
Symmetry-distinct sites (fractional):
Ca 0.0000 0.0000 0.0000 x1  8 Dy 3.59-3.61, 4 Er 3.61
Dy 0.9996 0.0000 0.3378 x2  8 Dy 3.46-3.57, 3 Er 3.54-3.57, 1 Ca 3.60
Dy 0.1665 0.5000 0.5002 x2  4 Er 3.48-3.55, 8 Dy 3.49-3.55
Dy 0.1724 0.5000 0.1725 x2  8 Dy 3.49-3.58, 2 Ca 3.61, 2 Er 3.67-3.68
Dy 0.3337 0.0000 0.3337 x2  8 Dy 3.49-3.56, 4 Er 3.54
Dy 0.3379 0.0000 0.9996 x2  8 Dy 3.45-3.58, 3 Er 3.55-3.57, 1 Ca 3.59
Dy 0.5003 0.5000 0.1665 x2  4 Er 3.48-3.55, 8 Dy 3.49-3.55
Er 0.1727 0.5000 0.8272 x2  8 Dy 3.48-3.68, 2 Er 3.49, 2 Ca 3.61
Er 0.3337 0.0000 0.6663 x2  4 Er 3.49-3.54, 8 Dy 3.54-3.55
Er 0.5000 0.5000 0.5000 x1  8 Dy 3.54-3.55, 4 Er 3.54

Values from the calculation:
Total magnetic moment, μB per formula unit: 0.00
Raw total energy, eV per atom: -4.41

First-principles (GGA-PBE) data for crystalline CaDyEr2 at its relaxed geometry, as listed in Alexandria via LeMat-Bulk.

Cell: 8.0711 8.0711 8.0711 Å, 90.00 90.00 90.00°
Last column: nearest neighbours and their distance in Å.
Space group Fm-3m (No. 225)
Symmetry-distinct sites (fractional):
Ca 0.0000 0.0000 0.0000 x4  8 Er 3.49
Dy 0.0000 0.0000 0.5000 x4  8 Er 3.49
Er 0.2500 0.2500 0.2500 x8  4 Dy 3.49, 4 Ca 3.49

Values from the calculation:
Energy above the most stable polymorph in this dataset, meV per atom: 120
Total magnetic moment, μB per formula unit: 0.04
Raw total energy, eV per atom: -3.74